1.
## CdAg (PBE)

Data for a relaxed structure of CdAg.

abc: 5.566 5.566 5.718
angles: 90.00 90.00 90.00
Atoms (fractional coordinates):
Ag 0.683 0.317 0.000
Cd 0.313 0.687 0.500
Cd 0.187 0.187 0.000
Ag 0.317 0.683 0.000
Ag 0.817 0.817 0.500
Ag 0.183 0.183 0.500
Cd 0.813 0.813 0.000
Cd 0.687 0.313 0.500

## Properties
SG: P4_2/mnm, No. 136
Calculated formation energy (meV per atom): 143
Crystal system: tetragonal
Density of states at the Fermi level (states/eV per atom): 0.33

2.
## Cd4Ag5 (PBE)

Data for a relaxed structure of Cd4Ag5.

abc: 8.337 8.337 5.822
angles: 90.00 90.00 60.00
Atoms (fractional coordinates):
Cd 0.362 0.000 0.250
Cd 0.362 0.638 0.750
Ag 0.333 0.333 0.000
Cd 0.000 0.000 0.000
Cd 0.000 0.362 0.750
Cd 0.638 0.362 0.250
Cd 0.638 0.000 0.750
Cd 0.000 0.638 0.250
Cd 0.000 0.000 0.500
Ag 0.000 0.308 0.250
Ag 0.667 0.667 0.500
Ag 0.308 0.000 0.750
Ag 0.692 0.308 0.750
Ag 0.692 0.000 0.250
Ag 0.308 0.692 0.250
Ag 0.333 0.333 0.500
Ag 0.000 0.692 0.750
Ag 0.667 0.667 0.000

## Properties
SG: P6_3/mcm, No. 193
Distance to the lowest polymorph of the same formula (meV per atom): 14.2
Calculated formation energy (meV per atom): -23
Crystal system: hexagonal
Density of states at the Fermi level (states/eV per atom): 0.17